1.
## LaPr3C2Br2 (GGA-PBE)

Data for a relaxed LaPr3C2Br2 crystal.

Structure (POSCAR):
```
LaPr3C2Br2
1.0
-0.876 -1.910 3.224
1.421 -1.895 -3.034
14.063 2.273 5.168
La Pr Br C
1 3 2 2
direct
0.000 0.000 0.092 La
0.667 0.333 0.906 Pr
0.000 0.000 0.409 Pr
0.667 0.333 0.592 Pr
0.000 0.000 0.749 Br
0.667 0.333 0.253 Br
0.333 0.667 0.998 C
0.333 0.667 0.501 C
```

Calculated values
* size of the total moment: 0.02 μB per formula unit

=====

2.
## Cu5Ag4 (GGA-PBE)

Data for a relaxed Cu5Ag4 crystal.

Structure (POSCAR):
```
Cu5Ag4
1.0
4.694 0.000 0.000
0.869 4.717 0.000
1.502 0.358 5.945
Ag Cu
4 5
direct
0.344 0.165 0.686 Ag
0.894 0.280 0.430 Ag
0.106 0.720 0.570 Ag
0.656 0.835 0.314 Ag
0.000 0.500 0.000 Cu
0.782 0.066 0.900 Cu
0.438 0.390 0.196 Cu
0.562 0.610 0.804 Cu
0.218 0.934 0.100 Cu
```

Calculated values
* relative energy among the computed polymorphs: 53 meV per atom
* DFT formation energy: 0.093 eV/atom

=====

3.
## AcLuTc (GGA-PBE)

Data for a relaxed AcLuTc crystal.

Structure (POSCAR):
```
AcLuTc
1.0
0.000 3.482 3.482
3.482 0.000 3.482
3.482 3.482 0.000
Ac Lu Tc
1 1 1
direct
0.250 0.250 0.250 Ac
0.000 0.000 0.000 Lu
0.750 0.750 0.750 Tc
```

Calculated values
* size of the total moment: 0.01 μB per formula unit
* DFT formation energy: 0.951 eV/atom

=====

4.
## Zn3Co2 (GGA-PBE)

Data for a relaxed Zn3Co2 crystal.

Structure (POSCAR):
```
Zn3Co2
1.0
-5.069 0.000 0.000
2.534 -4.390 0.000
-2.534 1.463 5.786
Zn Co
6 4
direct
0.260 0.250 0.750 Zn
0.760 0.260 0.250 Zn
0.740 0.750 0.250 Zn
0.750 0.760 0.750 Zn
0.250 0.240 0.250 Zn
0.240 0.740 0.750 Zn
0.811 0.189 0.568 Co
0.689 0.311 0.932 Co
0.189 0.811 0.432 Co
0.311 0.689 0.068 Co
```

Calculated values
* size of the total moment: 1.91 μB per formula unit
* DFT formation energy: 0.210 eV/atom

=====

Calculated electronic total energy (eV per cell), listed in the same order as above: -48.1, -29.0, -16.1, -33.9